Entry 1:
This record from Alexandria describes a relaxed structure of Na2SnAu2. The functional is PBE-GGA.

Results
Symmetry   C2/c, No. 15
Relative energy among the computed polymorphs   0.000 eV per atom
Spin magnetization   0.00 μB per formula unit
Density of states at the Fermi level   2.82 states/eV/cell
Volume   121.9 Å³/f.u.
Crystal system   monoclinic
Formation enthalpy at 0 K   -0.3417 eV/atom

```
10
Lattice="5.8621 0.0000 0.0000 -2.9310 5.2254 0.2369 0.0000 -2.0333 7.8667" Properties=species:S:1:pos:R:3 pbc="T T T"
Na 2.1317 1.2870 1.2651
Na -0.7993 2.9218 2.9052
Na 0.7993 1.9051 6.8385
Na 3.7304 0.2704 5.1985
Sn 4.9227 -0.5083 1.9667
Sn 0.9394 -1.5250 5.9000
Au 2.1403 2.7720 4.2183
Au 5.0714 -0.5965 7.8187
Au 0.7907 0.4201 3.8853
Au -2.1403 3.7887 0.2850
```

=====

Entry 2:
This record from Alexandria describes a relaxed structure of Nd2LuV. The functional is PBE-GGA.

Results
Symmetry   R-3m, No. 166
Spin magnetization   3.05 μB per formula unit
Density of states at the Fermi level   6.49 states/eV/cell
Volume   117.2 Å³/f.u.
Crystal system   trigonal
Formation enthalpy at 0 K   0.6308 eV/atom

```
4
Lattice="3.4206 0.0000 0.0000 1.7103 2.9623 0.0000 1.7103 0.9874 11.5692" Properties=species:S:1:pos:R:3 pbc="T T T"
Lu 3.4206 1.9749 5.7846
Nd 1.7103 0.9874 8.7290
Nd 5.1309 2.9623 2.8402
V 0.0000 0.0000 0.0000
```

=====

Entry 3:
This record from Alexandria describes a relaxed structure of Gd2Y4H. The functional is PBE-GGA.

Results
Symmetry   I4/mmm, No. 139
Final energy   -56.9 eV/cell
Spin magnetization   14.85 μB per formula unit
Density of states at the Fermi level   7.75 states/eV/cell
Volume   202.4 Å³/f.u.
Crystal system   tetragonal

```
7
Lattice="-2.8479 -2.7585 2.7863 1.1148 -3.8713 -2.6932 5.8203 -4.9902 5.2227" Properties=species:S:1:pos:R:3 pbc="T T T"
Y 0.2845 -7.1352 1.6549
Y 3.8027 -4.4847 3.6610
Y 0.5574 -1.9356 -1.3466
Y -1.4240 -1.3792 1.3931
H 0.0000 0.0000 0.0000
Gd 2.9740 -7.8091 3.7368
Gd 1.1132 -3.8109 1.5790
```

=====

Entry 4:
This record from Alexandria describes a relaxed structure of BaLiNb2. The functional is PBE-GGA.

Results
Symmetry   I-42d, No. 122
Relative energy among the computed polymorphs   0.000 eV per atom
Spin magnetization   0.00 μB per formula unit
Density of states at the Fermi level   8.72 states/eV/cell
Volume   121.7 Å³/f.u.
Crystal system   tetragonal
Formation enthalpy at 0 K   1.1394 eV/atom

```
8
Lattice="4.7212 0.0000 0.0000 0.0000 4.7212 0.0000 2.3606 2.3606 10.9225" Properties=species:S:1:pos:R:3 pbc="T T T"
Nb 2.1246 1.1803 2.7306
Nb 2.5966 3.5409 2.7306
Nb 3.5409 4.9572 8.1919
Nb 5.9015 4.4852 8.1919
Ba 0.0000 0.0000 0.0000
Ba 4.7212 2.3606 5.4613
Li 2.3606 2.3606 0.0000
Li 2.3606 4.7212 5.4613
```

=====

Entry 5:
This record from Alexandria describes a relaxed structure of SrAcNbO5. The functional is PBE-GGA.

Results
E_form (uncorrected)   -2.923 eV per atom
Symmetry   C2/c, No. 15
Spin magnetization   0.00 μB per formula unit
Density of states at the Fermi level   0.00 states/eV/cell
Volume   154.0 Å³/f.u.
Crystal system   monoclinic

```
16
Lattice="6.3907 -0.0629 0.1086 -1.9257 6.0940 0.1086 -1.7316 -2.3389 7.8496" Properties=species:S:1:pos:R:3 pbc="T T T"
Sr 0.4137 3.4569 2.0710
Sr 2.3198 0.2353 5.9958
Ac -0.8658 -1.1695 3.9248
Ac 0.0000 0.0000 0.0000
Nb 3.2867 1.3299 2.0710
Nb -0.5533 2.3623 5.9958
O -1.4579 4.8424 2.0710
O 4.1913 -1.1503 5.9958
O 5.0014 1.7028 1.3682
O -2.2680 1.9894 6.6987
O 3.4306 -0.4190 2.7738
O -0.6972 4.1111 5.2930
O 2.7379 2.5287 3.4056
O -0.0045 1.1634 4.6613
O 1.9799 1.5048 0.7365
O 0.7536 2.1873 7.3304
```

=====

Entry 6:
This record from Alexandria describes a relaxed structure of SnHgP3. The functional is PBE-GGA.

Results
Symmetry   Pm-3m, No. 221
Relative energy among the computed polymorphs   0.000 eV per atom
Spin magnetization   0.00 μB per formula unit
Density of states at the Fermi level   6.29 states/eV/cell
Volume   132.0 Å³/f.u.
Crystal system   cubic
Formation enthalpy at 0 K   1.1632 eV/atom

```
5
Lattice="-2.1359 3.0735 3.4524 -4.6189 -1.2747 -1.7228 -0.1756 -3.8543 3.3227" Properties=species:S:1:pos:R:3 pbc="T T T"
P -2.3095 -0.6373 -0.8614
P -0.0878 -1.9272 1.6613
P -1.0679 1.5367 1.7262
Hg -3.4652 -1.0278 2.5261
Sn 0.0000 0.0000 0.0000
```

=====

Entry 7:
This record from Alexandria describes a relaxed structure of TlGaAgSe. The functional is PBE-GGA.

Results
E_form (uncorrected)   -0.099 eV per atom
Symmetry   Cm, No. 8
Relative energy among the computed polymorphs   0.039 eV per atom
Spin magnetization   0.00 μB per formula unit
Density of states at the Fermi level   2.61 states/eV/cell
Volume   101.6 Å³/f.u.
Crystal system   monoclinic

```
8
Lattice="-3.7377 -1.8127 -1.8274 1.9305 -0.6007 -3.3528 6.6512 -8.6704 5.3831" Properties=species:S:1:pos:R:3 pbc="T T T"
Tl 3.4564 -9.1772 3.6343
Tl 1.0960 -5.1423 -0.7336
Ga 2.1750 -4.9982 2.1478
Ga -0.1853 -0.9634 -2.2201
Ag 1.8592 -2.4825 1.5152
Ag 6.1500 -7.1180 2.5304
Se -0.4178 -2.0343 0.1239
Se 3.8730 -6.6698 1.1390
```

=====

Entry 8:
This record from Alexandria describes a relaxed structure of Ac2NiGe4Ir3. The functional is PBE-GGA.

Results
Symmetry   P-4m2, No. 115
Spin magnetization   0.00 μB per formula unit
Density of states at the Fermi level   9.51 states/eV/cell
Volume   196.9 Å³/f.u.
Crystal system   tetragonal
Formation enthalpy at 0 K   -0.6865 eV/atom

```
10
Lattice="-3.0058 -1.7183 -2.7255 1.6247 -4.0271 0.7472 -6.4047 -1.1399 7.7820" Properties=species:S:1:pos:R:3 pbc="T T T"
Ac -3.0955 -1.1426 0.5724
Ac -3.9997 -2.8700 6.2205
Ni -3.8929 -3.4427 2.9019
Ge -0.6906 -2.8727 -0.9891
Ge 0.0000 0.0000 0.0000
Ge -5.4835 -1.5676 3.4739
Ge -1.6118 -2.4450 3.3190
Ir -3.2023 -0.5700 3.8910
Ir -7.0955 -1.8545 5.4325
Ir 0.0002 -2.1581 1.3603
```